# 1
! Li6Hf2O7, single point on PBEsol structure, DFT meta-GGA SCAN; values from VASP
&SYSTEM
  ibrav = 0, nat = 30, ntyp = 3
/
ATOMIC_SPECIES
Li 6.94 Li.upf
Hf 178.49 Hf.upf
O 16.00 O.upf
CELL_PARAMETERS angstrom
5.270 0.000 -0.010
0.000 5.979 0.000
-1.753 0.000 9.612
ATOMIC_POSITIONS crystal
Li 0.854 0.723 0.642
Li 0.144 0.730 0.361
Li 0.356 0.230 0.139
Li 0.646 0.223 0.858
Li 0.458 0.004 0.625
Li 0.354 0.777 0.142
Li 0.042 0.504 0.875
Li 0.644 0.770 0.861
Li 0.856 0.270 0.639
Li 0.542 0.996 0.375
Li 0.958 0.496 0.125
Li 0.146 0.277 0.358
Hf 0.365 0.496 0.633
Hf 0.635 0.504 0.367
Hf 0.865 0.004 0.133
Hf 0.135 0.996 0.867
O 0.254 0.233 0.742
O 0.504 0.266 0.498
O 0.996 0.766 0.002
O 0.715 0.496 0.756
O 0.754 0.267 0.242
O 0.785 0.996 0.744
O 0.000 0.500 0.500
O 0.246 0.733 0.758
O 0.285 0.504 0.244
O 0.215 0.004 0.256
O 0.496 0.734 0.502
O 0.500 0.000 0.000
O 0.746 0.767 0.258
O 0.004 0.234 0.998
! E_form (uncorrected)	-2.875	eV/atom
! E_tot	-452.9	eV per cell

---

# 2
! Li6Hf2O7, single point on PBEsol structure, DFT meta-GGA SCAN; values from VASP
&SYSTEM
  ibrav = 0, nat = 30, ntyp = 3
/
ATOMIC_SPECIES
Hf 178.49 Hf.upf
O 16.00 O.upf
Li 6.94 Li.upf
CELL_PARAMETERS angstrom
-5.576 1.574 1.210
1.468 -5.762 -0.216
2.612 1.927 9.526
ATOMIC_POSITIONS crystal
Hf 0.195 0.633 0.635
Hf 0.438 0.633 0.135
Hf 0.805 0.367 0.365
Hf 0.562 0.367 0.865
O 0.864 0.500 0.746
O 0.501 0.757 0.522
O 0.000 0.734 0.498
O 0.000 0.266 0.502
O 0.734 0.734 0.998
O 0.499 0.243 0.478
O 0.266 0.266 0.002
O 0.650 0.000 0.250
O 0.635 0.500 0.246
O 0.136 0.500 0.254
O 0.365 0.500 0.754
O 0.350 0.000 0.750
O 0.744 0.243 0.978
O 0.256 0.757 0.022
Li 0.918 0.125 0.088
Li 0.663 0.587 0.606
Li 0.335 0.868 0.396
Li 0.467 0.132 0.104
Li 0.337 0.413 0.394
Li 0.665 0.132 0.604
Li 0.206 0.125 0.588
Li 0.794 0.875 0.412
Li 0.076 0.413 0.894
Li 0.082 0.875 0.912
Li 0.533 0.868 0.896
Li 0.924 0.587 0.106
! E_form (uncorrected)	-2.876	eV/atom
! E_tot	-452.9	eV per cell

---

# 3
! Li2Hf2O5, single point on PBEsol structure, DFT meta-GGA SCAN; values from VASP
&SYSTEM
  ibrav = 0, nat = 18, ntyp = 3
/
ATOMIC_SPECIES
O 16.00 O.upf
Li 6.94 Li.upf
Hf 178.49 Hf.upf
CELL_PARAMETERS angstrom
-3.491 2.769 3.288
-5.174 -1.686 -1.024
-2.287 -4.479 5.521
ATOMIC_POSITIONS crystal
O 0.633 0.922 0.631
O 0.028 0.972 0.750
O 0.972 0.028 0.250
O 0.922 0.633 0.131
O 0.500 0.500 0.000
O 0.078 0.367 0.869
O 0.367 0.078 0.369
O 0.500 0.000 0.000
O 0.000 0.500 0.500
O 0.500 0.500 0.500
Li 0.787 0.183 0.960
Li 0.213 0.817 0.040
Li 0.183 0.787 0.460
Li 0.817 0.213 0.540
Hf 0.281 0.222 0.620
Hf 0.778 0.719 0.880
Hf 0.222 0.281 0.120
Hf 0.719 0.778 0.380
! E_form (uncorrected)	-3.244	eV/atom
! energy above the lowest structure with this stoichiometry	0	meV per atom
! E_tot	-381.0	eV per cell

---

# 4
! Li2HfO3, single point on PBEsol structure, DFT meta-GGA SCAN; values from VASP
&SYSTEM
  ibrav = 0, nat = 12, ntyp = 3
/
ATOMIC_SPECIES
Li 6.94 Li.upf
O 16.00 O.upf
Hf 178.49 Hf.upf
CELL_PARAMETERS angstrom
-3.874 -0.886 -3.334
-2.535 -0.778 4.608
1.372 4.928 -1.449
ATOMIC_POSITIONS crystal
Li 0.000 0.845 0.155
Li 0.000 0.500 0.500
Li 0.500 0.000 0.000
Li 0.000 0.155 0.845
O 0.733 0.430 0.080
O 0.267 0.920 0.570
O 0.260 0.273 0.273
O 0.740 0.727 0.727
O 0.733 0.080 0.430
O 0.267 0.570 0.920
Hf 0.500 0.668 0.332
Hf 0.500 0.332 0.668
! E_form (uncorrected)	-3.035	eV/atom
! E_tot	-208.7	eV per cell

---

# 5
! LiHfP2O, single point on PBEsol structure, DFT meta-GGA SCAN; values from VASP
&SYSTEM
  ibrav = 0, nat = 5, ntyp = 4
/
ATOMIC_SPECIES
Li 6.94 Li.upf
Hf 178.49 Hf.upf
P 30.97 P.upf
O 16.00 O.upf
CELL_PARAMETERS angstrom
-0.172 1.788 -3.504
-4.931 -1.296 -0.420
-1.344 4.370 2.296
ATOMIC_POSITIONS crystal
Li 0.500 0.500 0.500
Hf 0.000 0.000 0.000
P 0.000 0.000 0.500
P 0.000 0.500 0.000
O 0.500 0.000 0.000
! E_form (uncorrected)	-0.784	eV/atom
! energy above the lowest structure with this stoichiometry	0	meV per atom
! E_tot	-96.0	eV per cell

---

# 6
! LiHfP2O, single point on PBEsol structure, DFT meta-GGA SCAN; values from VASP
&SYSTEM
  ibrav = 0, nat = 5, ntyp = 4
/
ATOMIC_SPECIES
P 30.97 P.upf
O 16.00 O.upf
Li 6.94 Li.upf
Hf 178.49 Hf.upf
CELL_PARAMETERS angstrom
-3.062 0.632 1.464
-1.166 -4.199 -0.626
1.665 -1.050 3.938
ATOMIC_POSITIONS crystal
P 0.000 0.000 0.500
P 0.000 0.500 0.000
O 0.500 0.000 0.000
Li 0.000 0.000 0.000
Hf 0.500 0.500 0.500
! E_form (uncorrected)	-0.138	eV/atom
! energy above the lowest structure with this stoichiometry	647	meV per atom
! E_tot	-92.8	eV per cell

---

One value per record, in order, for Fermi-level density of states: 0.00, 0.00, 0.00, 0.00, 0.38, 0.60 states/eV/atom.